1.
Compound: KCa2Cl
Source: Alexandria
Functional: SCAN
Structure: PBEsol geometry

Values from the calculation:
Energy relative to the lowest polymorph listed for this composition: 0.0 meV/atom
V: 37.2 Å³ per atom
Density of states at the Fermi level: 0.5438 states/eV/atom
Calculated density: 1.7 Mg/m³
Total magnetization: 0.27 μB/f.u.

The structure in POSCAR format:
```
KCa2Cl
1.0
-0.865 -1.190 3.446
-2.205 -2.864 -1.542
9.137 -4.702 0.669
Ca K Cl
2 1 1
Cartesian
0.956 -3.646 1.018
-1.890 -2.821 -1.448
5.144 -4.565 1.751
3.119 -4.370 -0.726
```



2.
Compound: K2CaWCl
Source: Alexandria
Functional: SCAN
Structure: PBEsol geometry

Values from the calculation:
V: 32.1 Å³ per atom
Density of states at the Fermi level: 0.7606 states/eV/atom
Calculated density: 3.5 Mg/m³
Total magnetization: 1.64 μB/f.u.

The structure in POSCAR format:
```
K2CaWCl
1.0
4.533 0.000 0.000
0.000 5.946 0.000
0.000 0.000 5.946
Cl K W Ca
1 2 1 1
Cartesian
0.000 0.000 0.000
0.000 0.000 2.973
0.000 2.973 0.000
2.267 0.000 0.000
2.267 2.973 2.973
```



3.
Compound: CaLaCl2
Source: Alexandria
Functional: SCAN
Structure: PBEsol geometry

Values from the calculation:
V: 21.9 Å³ per atom
Density of states at the Fermi level: 0.6072 states/eV/atom
Calculated density: 4.7 Mg/m³
Total magnetization: 0.99 μB/f.u.

The structure in POSCAR format:
```
CaLaCl2
1.0
-1.435 4.761 -0.389
-1.620 1.767 -4.374
-4.824 1.109 -0.609
La Ca Cl
1 1 2
Cartesian
0.000 0.000 0.000
-3.939 3.819 -2.686
-1.970 1.909 -1.343
-5.909 5.728 -4.029
```



4.
Compound: CaLaCl4
Source: Alexandria
Functional: SCAN
Structure: PBEsol geometry

Values from the calculation:
V: 24.2 Å³ per atom
Density of states at the Fermi level: 0.4904 states/eV/atom
Calculated density: 3.7 Mg/m³
Total magnetization: 1.01 μB/f.u.

The structure in POSCAR format:
```
CaLaCl4
1.0
-5.224 -0.243 -2.732
-1.896 -5.095 -2.293
-4.509 -2.866 2.505
Ca La Cl
1 1 4
Cartesian
0.000 0.000 0.000
-8.722 -6.153 -1.890
-6.972 -3.199 -2.310
-4.362 -3.077 -0.945
-6.614 -4.509 0.306
-5.309 -5.623 -2.090
```



5.
Compound: Li2CaCl
Source: Alexandria
Functional: SCAN
Structure: PBEsol geometry

Values from the calculation:
Energy relative to the lowest polymorph listed for this composition: 0.0 meV/atom
V: 25.3 Å³ per atom
Density of states at the Fermi level: 0.3685 states/eV/atom
Calculated density: 1.5 Mg/m³
Total magnetization: 0.13 μB/f.u.

The structure in POSCAR format:
```
Li2CaCl
1.0
3.576 0.006 0.000
-1.653 3.171 0.000
0.000 0.000 8.934
Cl Ca Li
1 1 2
Cartesian
0.961 1.588 2.023
0.000 0.000 4.151
0.961 1.588 6.853
0.000 0.000 0.374
```



6.
Compound: LiCa2Cl
Source: Alexandria
Functional: SCAN
Structure: PBEsol geometry

Values from the calculation:
Energy relative to the lowest polymorph listed for this composition: 0.0 meV/atom
V: 27.1 Å³ per atom
Density of states at the Fermi level: 0.5464 states/eV/atom
Calculated density: 1.9 Mg/m³
Total magnetization: 0.00 μB/f.u.

The structure in POSCAR format:
```
LiCa2Cl
1.0
3.548 0.000 0.000
0.000 3.548 0.000
0.000 0.000 8.610
Li Ca Cl
1 2 1
Cartesian
1.774 1.774 4.305
0.000 0.000 6.521
0.000 0.000 2.089
1.774 1.774 0.000
```



7.
Compound: LiCa2Cl
Source: Alexandria
Functional: SCAN
Structure: PBEsol geometry

Values from the calculation:
Energy relative to the lowest polymorph listed for this composition: 292.5 meV/atom
V: 28.9 Å³ per atom
Density of states at the Fermi level: 0.7149 states/eV/atom
Calculated density: 1.8 Mg/m³
Total magnetization: 0.00 μB/f.u.

The structure in POSCAR format:
```
LiCa2Cl
1.0
5.466 0.000 0.000
2.733 4.734 0.000
2.733 1.578 4.463
Ca Cl Li
2 1 1
Cartesian
2.733 1.578 1.116
8.199 4.734 3.347
0.000 0.000 0.000
5.466 3.156 2.231
```



8.
Compound: LiCa2Cl
Source: Alexandria
Functional: SCAN
Structure: PBEsol geometry

Values from the calculation:
Energy relative to the lowest polymorph listed for this composition: 13.5 meV/atom
V: 28.2 Å³ per atom
Density of states at the Fermi level: 0.4168 states/eV/atom
Calculated density: 1.8 Mg/m³
Total magnetization: 0.00 μB/f.u.

The structure in POSCAR format:
```
LiCa2Cl
1.0
3.532 0.000 0.000
0.000 5.757 0.000
-1.766 -2.878 5.545
Li Cl Ca
1 1 2
Cartesian
0.000 2.878 2.228
1.766 2.878 0.042
1.766 2.878 5.513
1.766 0.000 3.307
```



9.
Compound: Li3CaCl
Source: Alexandria
Functional: SCAN
Structure: PBEsol geometry

Values from the calculation:
V: 24.7 Å³ per atom
Density of states at the Fermi level: 0.6296 states/eV/atom
Calculated density: 1.3 Mg/m³
Total magnetization: 0.00 μB/f.u.

The structure in POSCAR format:
```
Li3CaCl
1.0
-3.149 -3.845 0.368
1.916 -1.143 4.455
-3.353 2.957 2.201
Cl Ca Li
1 1 3
Cartesian
0.000 0.000 0.000
-2.293 -1.016 3.512
-1.677 1.478 1.100
-1.574 -1.922 0.184
0.958 -0.572 2.228
```



10.
Compound: Li2CaCl
Source: Alexandria
Functional: SCAN
Structure: PBEsol geometry

Values from the calculation:
Energy relative to the lowest polymorph listed for this composition: 29.9 meV/atom
V: 23.9 Å³ per atom
Density of states at the Fermi level: 0.4775 states/eV/atom
Calculated density: 1.6 Mg/m³
Total magnetization: 0.00 μB/f.u.

The structure in POSCAR format:
```
Li2CaCl
1.0
-2.529 -2.133 -0.844
3.407 -2.698 3.514
-3.927 3.671 2.495
Li Ca Cl
2 1 1
Cartesian
-1.284 -1.863 1.648
0.552 -4.280 2.255
-3.426 0.758 1.448
-1.241 0.163 3.310
```



11.
Compound: LiCaCl2
Source: Alexandria
Functional: SCAN
Structure: PBEsol geometry

Values from the calculation:
V: 21.8 Å³ per atom
Density of states at the Fermi level: 0.2046 states/eV/atom
Calculated density: 2.2 Mg/m³
Total magnetization: 0.99 μB/f.u.

The structure in POSCAR format:
```
LiCaCl2
1.0
3.563 0.000 0.000
0.000 3.563 0.000
0.000 0.000 6.881
Ca Cl Li
1 2 1
Cartesian
1.782 1.782 5.371
1.782 1.782 2.589
0.000 0.000 6.789
0.000 0.000 2.454
```



12.
Compound: Li2CaReCl
Source: Alexandria
Functional: SCAN
Structure: PBEsol geometry

Values from the calculation:
V: 21.1 Å³ per atom
Density of states at the Fermi level: 0.3739 states/eV/atom
Calculated density: 4.3 Mg/m³
Total magnetization: 0.00 μB/f.u.

The structure in POSCAR format:
```
Li2CaReCl
1.0
4.378 0.000 0.000
0.000 4.909 0.000
0.000 0.000 4.909
Ca Li Cl Re
1 2 1 1
Cartesian
2.189 2.455 2.455
0.000 2.455 0.000
0.000 0.000 2.455
2.189 0.000 0.000
0.000 0.000 0.000
```



Number 1: uncorrected formation energy -0.92 eV/atom. Number 2: uncorrected formation energy 0.74 eV/atom. Number 3: uncorrected formation energy -1.39 eV/atom. Number 4: uncorrected formation energy -0.98 eV/atom. Number 5: uncorrected formation energy -0.78 eV/atom. Number 6: uncorrected formation energy -0.70 eV/atom. Number 7: uncorrected formation energy -0.41 eV/atom. Number 8: uncorrected formation energy -0.69 eV/atom. Number 9: uncorrected formation energy -0.48 eV/atom. Number 10: uncorrected formation energy -0.75 eV/atom. Number 11: uncorrected formation energy -1.75 eV/atom. Number 12: uncorrected formation energy 0.48 eV/atom.